1.
Here is a relaxed CeGdErIn crystal from Alexandria via LeMat-Bulk. Energies are from PBE-GGA.

Unit cell a=5.396 b=5.396 c=5.396 alpha=60.00 beta=60.00 gamma=60.00
Each line ends with the local moment (μB).
Element x y z (fractional)
1 Gd 0.500 0.500 0.500  7.22
2 In 0.250 0.250 0.250  -0.02
3 Ce 0.750 0.750 0.750  0.11
4 Er 0.000 0.000 0.000  0.09

## Properties
The total energy comes out at -27.6 eV per cell. The energy of formation from the pure elements comes out at -0.08 eV/atom. Its crystal system is cubic.



2.
Here is a relaxed CeGdErMg crystal from Alexandria via LeMat-Bulk. Energies are from PBE-GGA.

Unit cell a=5.501 b=5.501 c=5.501 alpha=60.00 beta=60.00 gamma=60.00
Each line ends with the local moment (μB).
Element x y z (fractional)
1 Er 0.250 0.250 0.250  0.23
2 Mg 0.750 0.750 0.750  -0.01
3 Ce 0.000 0.000 0.000  0.80
4 Gd 0.500 0.500 0.500  7.20

## Properties
The total energy comes out at -25.9 eV per cell. The energy of formation from the pure elements comes out at 0.08 eV/atom. Its crystal system is cubic.



3.
Here is a relaxed CeNdGdEr crystal from Alexandria via LeMat-Bulk. Energies are from PBE-GGA.

Unit cell a=5.709 b=5.709 c=5.709 alpha=60.00 beta=60.00 gamma=60.00
Each line ends with the local moment (μB).
Element x y z (fractional)
1 Nd 0.750 0.750 0.750  0.25
2 Er 0.000 0.000 0.000  0.36
3 Gd 0.250 0.250 0.250  7.43
4 Ce 0.500 0.500 0.500  1.14

## Properties
The total energy comes out at -28.7 eV per cell. The energy of formation from the pure elements comes out at 0.17 eV/atom. Its crystal system is cubic.



4.
Here is a relaxed CeGdErPb crystal from Alexandria via LeMat-Bulk. Energies are from PBE-GGA.

Unit cell a=5.448 b=5.448 c=5.448 alpha=60.00 beta=60.00 gamma=60.00
Each line ends with the local moment (μB).
Element x y z (fractional)
1 Er 0.750 0.750 0.750  -0.03
2 Pb 0.000 0.000 0.000  0.01
3 Gd 0.250 0.250 0.250  -7.18
4 Ce 0.500 0.500 0.500  0.46

## Properties
The total energy comes out at -28.5 eV per cell. The energy of formation from the pure elements comes out at -0.05 eV/atom. Its crystal system is cubic.



5.
Here is a relaxed CePrGdEr crystal from Alexandria via LeMat-Bulk. Energies are from PBE-GGA.

Unit cell a=5.721 b=5.721 c=5.721 alpha=60.00 beta=60.00 gamma=60.00
Each line ends with the local moment (μB).
Element x y z (fractional)
1 Pr 0.250 0.250 0.250  -0.25
2 Gd 0.750 0.750 0.750  -7.43
3 Ce 0.500 0.500 0.500  -1.13
4 Er 0.000 0.000 0.000  -0.36

## Properties
The total energy comes out at -28.7 eV per cell. The energy of formation from the pure elements comes out at 0.18 eV/atom. Its crystal system is cubic.



6.
Here is a relaxed CeGdErTm crystal from Alexandria via LeMat-Bulk. Energies are from PBE-GGA.

Unit cell a=5.623 b=5.623 c=5.623 alpha=60.00 beta=60.00 gamma=60.00
Each line ends with the local moment (μB).
Element x y z (fractional)
1 Er 0.750 0.750 0.750  0.02
2 Tm 0.250 0.250 0.250  0.02
3 Gd 0.000 0.000 0.000  7.19
4 Ce 0.500 0.500 0.500  -0.56

## Properties
The total energy comes out at -28.5 eV per cell. The energy of formation from the pure elements comes out at 0.15 eV/atom. Its crystal system is cubic.